# Ac3PmPr4S8 GGA-PBE optimized geometry
data_Ac3PmPr4S8
_symmetry_space_group_name_H-M 'P 1'
_symmetry_Int_Tables_number 1
_cell_length_a 8.344
_cell_length_b 8.344
_cell_length_c 8.344
_cell_angle_alpha 60.09
_cell_angle_beta 60.09
_cell_angle_gamma 60.09
loop_
_symmetry_equiv_pos_as_xyz
'x,y,z'
loop_
_atom_site_label
_atom_site_fract_x
_atom_site_fract_y
_atom_site_fract_z
Ac1 0.000 0.500 0.500
Ac2 0.500 0.000 0.500
Ac3 0.500 0.500 0.000
Pm1 0.000 0.000 0.000
Pr1 0.000 0.000 0.500
Pr2 0.000 0.500 0.000
Pr3 0.500 0.000 0.000
Pr4 0.500 0.500 0.500
S1 0.240 0.753 0.753
S2 0.246 0.246 0.246
S3 0.247 0.247 0.760
S4 0.247 0.760 0.247
S5 0.753 0.240 0.753
S6 0.753 0.753 0.240
S7 0.754 0.754 0.754
S8 0.760 0.247 0.247
# Symmetry: R-3m
# Uncorrected formation energy (meV per atom): -2005

=====

# Zn2SiSO GGA-PBE optimized geometry
data_Zn2SiSO
_symmetry_space_group_name_H-M 'P 1'
_symmetry_Int_Tables_number 1
_cell_length_a 3.825
_cell_length_b 3.825
_cell_length_c 6.130
_cell_angle_alpha 90.00
_cell_angle_beta 90.00
_cell_angle_gamma 90.00
loop_
_symmetry_equiv_pos_as_xyz
'x,y,z'
loop_
_atom_site_label
_atom_site_fract_x
_atom_site_fract_y
_atom_site_fract_z
Zn1 0.000 0.500 0.000
Zn2 0.500 0.000 0.000
Si1 0.000 0.000 0.500
S1 0.500 0.500 0.500
O1 0.500 0.500 0.000
# Symmetry: P4/mmm
# Uncorrected formation energy (meV per atom): 64

=====

# CaNbGeTeP GGA-PBE optimized geometry
data_CaNbGeTeP
_symmetry_space_group_name_H-M 'P 1'
_symmetry_Int_Tables_number 1
_cell_length_a 3.499
_cell_length_b 8.781
_cell_length_c 8.781
_cell_angle_alpha 24.74
_cell_angle_beta 90.00
_cell_angle_gamma 90.00
loop_
_symmetry_equiv_pos_as_xyz
'x,y,z'
loop_
_atom_site_label
_atom_site_fract_x
_atom_site_fract_y
_atom_site_fract_z
Ca1 0.000 0.000 0.000
Nb1 0.500 0.777 0.777
Ge1 0.500 0.397 0.397
Te1 0.500 0.614 0.614
P1 0.000 0.281 0.281
# Distance to the lowest polymorph of the same formula (meV per atom): 111
# Symmetry: Amm2
# Uncorrected formation energy (meV per atom): -495

=====

# Tb4Tl5Hg GGA-PBE optimized geometry
data_Tb4Tl5Hg
_symmetry_space_group_name_H-M 'P 1'
_symmetry_Int_Tables_number 1
_cell_length_a 7.995
_cell_length_b 10.153
_cell_length_c 7.479
_cell_angle_alpha 90.00
_cell_angle_beta 90.00
_cell_angle_gamma 90.00
loop_
_symmetry_equiv_pos_as_xyz
'x,y,z'
loop_
_atom_site_label
_atom_site_fract_x
_atom_site_fract_y
_atom_site_fract_z
Tb1 0.003 0.250 0.208
Tb2 0.250 0.559 0.466
Tb3 0.250 0.941 0.466
Tb4 0.497 0.250 0.208
Tb5 0.503 0.750 0.792
Tb6 0.750 0.059 0.534
Tb7 0.750 0.441 0.534
Tb8 0.997 0.750 0.792
Tl1 0.059 0.063 0.815
Tl2 0.059 0.437 0.815
Tl3 0.250 0.750 0.102
Tl4 0.441 0.063 0.815
Tl5 0.441 0.437 0.815
Tl6 0.559 0.563 0.185
Tl7 0.559 0.937 0.185
Tl8 0.750 0.250 0.898
Tl9 0.941 0.563 0.185
Tl10 0.941 0.937 0.185
Hg1 0.250 0.250 0.519
Hg2 0.750 0.750 0.481
# Distance to the lowest polymorph of the same formula (meV per atom): 259
# Symmetry: Pmmn
# ΔE_f (eV per formula unit): -0.6

=====

# SrTlHg3 GGA-PBE optimized geometry
data_SrTlHg3
_symmetry_space_group_name_H-M 'P 1'
_symmetry_Int_Tables_number 1
_cell_length_a 7.551
_cell_length_b 7.551
_cell_length_c 6.403
_cell_angle_alpha 90.00
_cell_angle_beta 90.00
_cell_angle_gamma 120.00
loop_
_symmetry_equiv_pos_as_xyz
'x,y,z'
loop_
_atom_site_label
_atom_site_fract_x
_atom_site_fract_y
_atom_site_fract_z
Sr1 0.333 0.667 0.250
Sr2 0.667 0.333 0.750
Tl1 0.000 0.000 0.000
Tl2 0.000 0.000 0.500
Hg1 0.201 0.402 0.750
Hg2 0.201 0.799 0.750
Hg3 0.402 0.201 0.250
Hg4 0.598 0.799 0.750
Hg5 0.799 0.201 0.250
Hg6 0.799 0.598 0.250
# Distance to the lowest polymorph of the same formula (meV per atom): 108
# Symmetry: P6_3/mmc
# ΔE_f (eV per formula unit): -1.0

=====

# TmSnH GGA-PBE optimized geometry
data_TmSnH
_symmetry_space_group_name_H-M 'P 1'
_symmetry_Int_Tables_number 1
_cell_length_a 8.224
_cell_length_b 8.224
_cell_length_c 7.600
_cell_angle_alpha 96.95
_cell_angle_beta 96.95
_cell_angle_gamma 28.27
loop_
_symmetry_equiv_pos_as_xyz
'x,y,z'
loop_
_atom_site_label
_atom_site_fract_x
_atom_site_fract_y
_atom_site_fract_z
Tm1 0.175 0.175 0.098
Tm2 0.188 0.188 0.625
Tm3 0.812 0.812 0.375
Tm4 0.825 0.825 0.902
Sn1 0.019 0.019 0.807
Sn2 0.404 0.404 0.647
Sn3 0.596 0.596 0.353
Sn4 0.981 0.981 0.193
H1 0.253 0.253 0.358
H2 0.255 0.255 0.891
H3 0.745 0.745 0.109
H4 0.747 0.747 0.642
# Distance to the lowest polymorph of the same formula (meV per atom): 186
# Symmetry: C2/m

=====

# Nd2ZnNi9 GGA-PBE optimized geometry
data_Nd2ZnNi9
_symmetry_space_group_name_H-M 'P 1'
_symmetry_Int_Tables_number 1
_cell_length_a 8.657
_cell_length_b 8.657
_cell_length_c 8.657
_cell_angle_alpha 33.17
_cell_angle_beta 33.17
_cell_angle_gamma 33.17
loop_
_symmetry_equiv_pos_as_xyz
'x,y,z'
loop_
_atom_site_label
_atom_site_fract_x
_atom_site_fract_y
_atom_site_fract_z
Nd1 0.134 0.134 0.134
Nd2 0.866 0.866 0.866
Zn1 0.000 0.000 0.000
Ni1 0.080 0.579 0.579
Ni2 0.333 0.333 0.333
Ni3 0.421 0.421 0.920
Ni4 0.421 0.920 0.421
Ni5 0.500 0.500 0.500
Ni6 0.579 0.080 0.579
Ni7 0.579 0.579 0.080
Ni8 0.667 0.667 0.667
Ni9 0.920 0.421 0.421
# Symmetry: R-3m
# ΔE_f (eV per formula unit): -1.7

=====

# TaTi3Co2 GGA-PBE optimized geometry
data_TaTi3Co2
_symmetry_space_group_name_H-M 'P 1'
_symmetry_Int_Tables_number 1
_cell_length_a 7.084
_cell_length_b 7.084
_cell_length_c 7.084
_cell_angle_alpha 130.97
_cell_angle_beta 71.98
_cell_angle_gamma 130.82
loop_
_symmetry_equiv_pos_as_xyz
'x,y,z'
loop_
_atom_site_label
_atom_site_fract_x
_atom_site_fract_y
_atom_site_fract_z
Ta1 0.000 0.000 0.000
Ta2 0.500 0.500 0.000
Ti1 0.015 0.250 0.765
Ti2 0.250 0.750 0.500
Ti3 0.485 0.250 0.235
Ti4 0.515 0.750 0.765
Ti5 0.750 0.250 0.500
Ti6 0.985 0.750 0.235
Co1 0.140 0.702 0.843
Co2 0.360 0.202 0.562
Co3 0.640 0.798 0.438
Co4 0.860 0.298 0.157
# Distance to the lowest polymorph of the same formula (meV per atom): 349
# Symmetry: Ibam
# ΔE_f (eV per formula unit): 0.6

=====

# CsNa2Hg GGA-PBE optimized geometry
data_CsNa2Hg
_symmetry_space_group_name_H-M 'P 1'
_symmetry_Int_Tables_number 1
_cell_length_a 7.553
_cell_length_b 7.553
_cell_length_c 7.553
_cell_angle_alpha 43.38
_cell_angle_beta 43.38
_cell_angle_gamma 43.38
loop_
_symmetry_equiv_pos_as_xyz
'x,y,z'
loop_
_atom_site_label
_atom_site_fract_x
_atom_site_fract_y
_atom_site_fract_z
Cs1 0.000 0.000 0.000
Na1 0.197 0.197 0.197
Na2 0.481 0.481 0.481
Hg1 0.805 0.805 0.805
# Symmetry: R3m
# ΔE_f (eV per formula unit): -0.5

=====

# Sc2TlOsO8 GGA-PBE optimized geometry
data_Sc2TlOsO8
_symmetry_space_group_name_H-M 'P 1'
_symmetry_Int_Tables_number 1
_cell_length_a 4.777
_cell_length_b 6.706
_cell_length_c 4.782
_cell_angle_alpha 90.00
_cell_angle_beta 91.33
_cell_angle_gamma 90.00
loop_
_symmetry_equiv_pos_as_xyz
'x,y,z'
loop_
_atom_site_label
_atom_site_fract_x
_atom_site_fract_y
_atom_site_fract_z
Sc1 0.000 0.248 0.000
Sc2 0.000 0.752 0.000
Tl1 0.500 0.000 0.500
Os1 0.500 0.500 0.500
O1 0.185 0.000 0.184
O2 0.217 0.500 0.216
O3 0.305 0.296 0.694
O4 0.305 0.704 0.694
O5 0.695 0.296 0.306
O6 0.695 0.704 0.306
O7 0.783 0.500 0.784
O8 0.815 0.000 0.816
# Symmetry: P2/m
# Uncorrected formation energy (meV per atom): -1910

=====

# GaSnGeC2 GGA-PBE optimized geometry
data_GaSnGeC2
_symmetry_space_group_name_H-M 'P 1'
_symmetry_Int_Tables_number 1
_cell_length_a 4.248
_cell_length_b 4.248
_cell_length_c 5.620
_cell_angle_alpha 90.00
_cell_angle_beta 90.00
_cell_angle_gamma 90.00
loop_
_symmetry_equiv_pos_as_xyz
'x,y,z'
loop_
_atom_site_label
_atom_site_fract_x
_atom_site_fract_y
_atom_site_fract_z
Ga1 0.000 0.000 0.000
Sn1 0.500 0.500 0.500
Ge1 0.500 0.500 0.000
C1 0.000 0.500 0.500
C2 0.500 0.000 0.500
# Symmetry: P4/mmm
# ΔE_f (eV per formula unit): 10.7

=====

# PaZn2Au2 GGA-PBE optimized geometry
data_PaZn2Au2
_symmetry_space_group_name_H-M 'P 1'
_symmetry_Int_Tables_number 1
_cell_length_a 4.703
_cell_length_b 3.202
_cell_length_c 12.634
_cell_angle_alpha 90.00
_cell_angle_beta 90.13
_cell_angle_gamma 90.00
loop_
_symmetry_equiv_pos_as_xyz
'x,y,z'
loop_
_atom_site_label
_atom_site_fract_x
_atom_site_fract_y
_atom_site_fract_z
Pa1 0.249 0.250 0.246
Pa2 0.751 0.750 0.754
Zn1 0.249 0.750 0.027
Zn2 0.251 0.250 0.638
Zn3 0.749 0.750 0.362
Zn4 0.751 0.250 0.973
Au1 0.250 0.750 0.457
Au2 0.252 0.250 0.853
Au3 0.748 0.750 0.147
Au4 0.750 0.250 0.543
# Distance to the lowest polymorph of the same formula (meV per atom): 36
# Symmetry: P2_1/m
# ΔE_f (eV per formula unit): -1.2

=====

Number 1: Fermi-level density of states 0.4975 states/eV/atom. Number 2: Fermi-level density of states 0.1001 states/eV/atom. Number 3: Fermi-level density of states 0.4870 states/eV/atom. Number 4: Fermi-level density of states 0.8648 states/eV/atom. Number 5: Fermi-level density of states 0.5321 states/eV/atom. Number 6: Fermi-level density of states 0.1970 states/eV/atom. Number 7: Fermi-level density of states 0.9330 states/eV/atom. Number 8: Fermi-level density of states 1.1586 states/eV/atom. Number 9: Fermi-level density of states 0.6198 states/eV/atom. Number 10: Fermi-level density of states 0.3065 states/eV/atom. Number 11: Fermi-level density of states 0.6986 states/eV/atom. Number 12: Fermi-level density of states 0.9045 states/eV/atom.